# Cs3Pr2MgTe6 | Alexandria | PBE | relaxed
# Total energy, eV per formula unit: -46.397
# Raw formation energy, eV/atom: -1.1527
data_Cs3Pr2MgTe6
_cell_length_a 7.976
_cell_length_b 13.849
_cell_length_c 9.389
_cell_angle_alpha 90.00
_cell_angle_beta 106.61
_cell_angle_gamma 90.00
_symmetry_space_group_name_H-M 'C 1 2/m 1'
_symmetry_Int_Tables_number 12
loop_
_symmetry_equiv_pos_as_xyz
'x,y,z'
'-x,-y,-z'
'-x,y,-z'
'x,-y,z'
'x+1/2,y+1/2,z'
'-x+1/2,-y+1/2,-z'
'-x+1/2,y+1/2,-z'
'x+1/2,-y+1/2,z'
loop_
_atom_site_label
_atom_site_type_symbol
_atom_site_fract_x
_atom_site_fract_y
_atom_site_fract_z
Cs1 Cs 0.000 0.000 0.000
Cs2 Cs 0.000 0.329 0.000
Pr1 Pr 0.000 0.166 0.500
Mg1 Mg 0.000 0.500 0.500
Te1 Te 0.223 0.340 0.690
Te2 Te 0.244 0.000 0.693

---

# CsMgPt3 | Alexandria | PBE | relaxed
# Total energy, eV per formula unit: -17.773
# ΔE_f, eV/atom: 0.5595
data_CsMgPt3
_cell_length_a 4.958
_cell_length_b 4.958
_cell_length_c 4.958
_cell_angle_alpha 90.00
_cell_angle_beta 90.00
_cell_angle_gamma 90.00
_symmetry_space_group_name_H-M 'P m -3 m'
_symmetry_Int_Tables_number 221
_symmetry_space_group_name_Hall '-P 4 2 3'
loop_
_atom_site_label
_atom_site_type_symbol
_atom_site_fract_x
_atom_site_fract_y
_atom_site_fract_z
Cs1 Cs 0.000 0.000 0.000
Mg1 Mg 0.500 0.500 0.500
Pt1 Pt 0.000 0.500 0.500

---

# CsMgPt2 | Alexandria | PBE | relaxed
# Total energy, eV per formula unit: -14.886
# ΔE_f, eV/atom: -0.0892
data_CsMgPt2
_cell_length_a 5.235
_cell_length_b 5.235
_cell_length_c 17.835
_cell_angle_alpha 90.00
_cell_angle_beta 90.00
_cell_angle_gamma 90.00
_symmetry_space_group_name_H-M 'I -4 2 d'
_symmetry_Int_Tables_number 122
_symmetry_space_group_name_Hall 'I -4 2bw'
loop_
_atom_site_label
_atom_site_type_symbol
_atom_site_fract_x
_atom_site_fract_y
_atom_site_fract_z
Cs1 Cs 0.000 0.000 0.000
Mg1 Mg 0.000 0.000 0.500
Pt1 Pt 0.043 0.250 0.625

---

# Cs2Mg2Pt | Alexandria | PBE | relaxed
# Total energy, eV per formula unit: -6.841
# ΔE_f, eV/atom: 0.8192
data_Cs2Mg2Pt
_cell_length_a 4.679
_cell_length_b 4.679
_cell_length_c 17.091
_cell_angle_alpha 90.00
_cell_angle_beta 90.00
_cell_angle_gamma 90.00
_symmetry_space_group_name_H-M 'I 4/m m m'
_symmetry_Int_Tables_number 139
_symmetry_space_group_name_Hall '-I 4 2'
loop_
_atom_site_label
_atom_site_type_symbol
_atom_site_fract_x
_atom_site_fract_y
_atom_site_fract_z
Cs1 Cs 0.000 0.500 0.250
Mg1 Mg 0.000 0.000 0.079
Pt1 Pt 0.000 0.000 0.500